# 1
VASP calculation (PBE) on an optimized crystal structure of Rb3AcBi2S6.

abc: 7.415 12.842 8.127
angles: 90.00 107.71 90.00
Space group C2/m (No. 12)
Inequivalent atoms, fractional coordinates:
Rb 0.000 0.000 0.000 (multiplicity 2)
Rb 0.000 0.333 0.000 (multiplicity 4)
Ac 0.000 0.500 0.500 (multiplicity 2)
Bi 0.000 0.167 0.500 (multiplicity 4)
S 0.223 0.000 0.702 (multiplicity 4)
S 0.239 0.328 0.701 (multiplicity 8)

Summary:
Raw formation energy   -110.6 kJ per mole of atoms

***

# 2
VASP calculation (PBE) on an optimized crystal structure of CsInGe.

abc: 4.6500 4.6500 6.2435
angles: 90.00 90.00 120.00
Space group P3m1 (No. 156)
Inequivalent atoms, fractional coordinates:
Cs 0.0000 0.0000 0.0000 (multiplicity 1)
In 0.3333 0.6667 0.4983 (multiplicity 1)
Ge 0.6667 0.3333 0.5040 (multiplicity 1)

Summary:
ΔH_f (0 K)   -0.1328 eV/atom

***

# 3
VASP calculation (PBE) on an optimized crystal structure of KCaSn3.

abc: 5.887 5.887 5.887
angles: 90.00 90.00 90.00
Space group Pm-3m (No. 221)
Inequivalent atoms, fractional coordinates:
K 0.000 0.000 0.000 (multiplicity 1)
Ca 0.500 0.500 0.500 (multiplicity 1)
Sn 0.000 0.500 0.500 (multiplicity 3)

Summary:
ΔH_f (0 K)   0.2581 eV/atom
Energy above the lowest structure with this stoichiometry   0 meV/atom

***

# 4
VASP calculation (PBE) on an optimized crystal structure of PrSm2P3Rh12.

abc: 9.0810 9.0810 12.8244
angles: 90.00 90.00 120.00
Space group R-3m (No. 166, hexagonal axes)
Inequivalent atoms, fractional coordinates:
Pr 0.0000 0.0000 0.0000 (multiplicity 3)
Sm 0.0000 0.0000 0.3715 (multiplicity 6)
P 0.0000 0.5000 0.5000 (multiplicity 9)
Rh 0.0132 0.5066 0.3264 (multiplicity 18)
Rh 0.0276 0.5138 0.8821 (multiplicity 18)

Summary:
ΔH_f (0 K)   -0.3328 eV/atom

***

# 5
VASP calculation (PBE) on an optimized crystal structure of Tl6TeSe2.

abc: 12.860 5.000 10.892
angles: 90.00 106.87 90.00
Space group C2/m (No. 12)
Inequivalent atoms, fractional coordinates:
Tl 0.023 0.000 0.301 (multiplicity 4)
Tl 0.137 0.500 0.510 (multiplicity 4)
Tl 0.177 0.500 0.048 (multiplicity 4)
Te 0.000 0.000 0.000 (multiplicity 2)
Se 0.210 0.000 0.667 (multiplicity 4)

Summary:
Raw formation energy   -26.7 kJ per mole of atoms
Energy above the lowest structure with this stoichiometry   9 meV/atom

***

# 6
VASP calculation (PBE) on an optimized crystal structure of Y2RhPb2.

abc: 7.301 7.301 4.747
angles: 90.00 90.00 90.00
Space group P4/mbm (No. 127)
Inequivalent atoms, fractional coordinates:
Y 0.168 0.332 0.000 (multiplicity 4)
Rh 0.000 0.000 0.500 (multiplicity 2)
Pb 0.147 0.647 0.500 (multiplicity 4)

Summary:
ΔH_f (0 K)   -0.4401 eV/atom
Energy above the lowest structure with this stoichiometry   140 meV/atom